Record 1
First-principles (PBE-GGA) data for a relaxed ZrTe2H crystal, as listed in Alexandria via LeMat-Bulk.

**Relative energy among the computed polymorphs**: 1.1952 eV per atom
**Calculated volume**: 21.5 Å³/atom
**Density of states at the Fermi level**: 0.99 states/eV/atom

abc: 9.194 9.194 9.194
angles: 20.80 20.80 20.80
Sites, in units of the cell vectors:
H: 0.500 0.500 0.500
Te: 0.893 0.893 0.893
Te: 0.107 0.107 0.107
Zr: 0.000 0.000 0.000

---

Record 2
First-principles (PBE-GGA) data for a relaxed Ac5Sc12Pb3 crystal, as listed in Alexandria via LeMat-Bulk.

**DFT formation energy**: 763 meV per atom
**Calculated volume**: 38.7 Å³/atom
**Density of states at the Fermi level**: 2.00 states/eV/atom

abc: 15.898 15.898 15.898
angles: 109.47 109.47 109.47
Sites, in units of the cell vectors:
Pb: 0.750 0.375 0.125
Pb: 0.875 0.750 0.125
Pb: 0.375 0.750 0.625
Pb: 0.250 0.125 0.375
Pb: 0.875 0.125 0.250
Pb: 0.375 0.625 0.250
Pb: 0.625 0.375 0.750
Pb: 0.125 0.875 0.750
Pb: 0.750 0.875 0.625
Pb: 0.625 0.250 0.375
Pb: 0.125 0.250 0.875
Pb: 0.250 0.625 0.875
Ac: 0.125 0.375 0.250
Ac: 0.000 0.500 0.000
Ac: 0.000 0.000 0.000
Ac: 0.375 0.250 0.125
Ac: 0.500 0.000 0.500
Ac: 0.500 0.500 0.000
Ac: 0.125 0.750 0.375
Ac: 0.750 0.125 0.875
Ac: 0.750 0.625 0.375
Ac: 0.375 0.125 0.750
Ac: 0.625 0.875 0.250
Ac: 0.500 0.500 0.500
Ac: 0.500 0.000 0.000
Ac: 0.000 0.000 0.500
Ac: 0.250 0.375 0.625
Ac: 0.250 0.875 0.125
Ac: 0.000 0.500 0.500
Ac: 0.875 0.250 0.625
Ac: 0.625 0.750 0.875
Ac: 0.875 0.625 0.750
Sc: 0.735 0.160 0.095
Sc: 0.360 0.595 0.436
Sc: 0.905 0.340 0.265
Sc: 0.595 0.235 0.160
Sc: 0.575 0.735 0.640
Sc: 0.905 0.564 0.140
Sc: 0.360 0.765 0.425
Sc: 0.064 0.925 0.160
Sc: 0.564 0.905 0.640
Sc: 0.735 0.575 0.140
Sc: 0.765 0.405 0.340
Sc: 0.860 0.936 0.095
Sc: 0.160 0.735 0.595
Sc: 0.340 0.436 0.075
Sc: 0.075 0.936 0.340
Sc: 0.425 0.160 0.564
Sc: 0.075 0.140 0.235
Sc: 0.405 0.640 0.064
Sc: 0.860 0.925 0.265
Sc: 0.160 0.425 0.064
Sc: 0.340 0.905 0.765
Sc: 0.564 0.660 0.425
Sc: 0.936 0.860 0.595
Sc: 0.765 0.360 0.925
Sc: 0.436 0.340 0.575
Sc: 0.064 0.140 0.405
Sc: 0.235 0.640 0.075
Sc: 0.140 0.075 0.735
Sc: 0.660 0.095 0.235
Sc: 0.840 0.575 0.936
Sc: 0.595 0.360 0.936
Sc: 0.575 0.840 0.436
Sc: 0.925 0.860 0.765
Sc: 0.925 0.064 0.660
Sc: 0.840 0.265 0.405
Sc: 0.140 0.064 0.905
Sc: 0.660 0.564 0.925
Sc: 0.436 0.095 0.360
Sc: 0.265 0.425 0.860
Sc: 0.235 0.595 0.660
Sc: 0.936 0.075 0.840
Sc: 0.640 0.235 0.575
Sc: 0.405 0.765 0.840
Sc: 0.095 0.436 0.860
Sc: 0.425 0.265 0.360
Sc: 0.095 0.660 0.735
Sc: 0.640 0.405 0.564
Sc: 0.265 0.840 0.905

---

Please write out number 1 again, unchanged.
First-principles (PBE-GGA) data for a relaxed ZrTe2H crystal, as listed in Alexandria via LeMat-Bulk.

**Relative energy among the computed polymorphs**: 1.1952 eV per atom
**Calculated volume**: 21.5 Å³/atom
**Density of states at the Fermi level**: 0.99 states/eV/atom

abc: 9.194 9.194 9.194
angles: 20.80 20.80 20.80
Sites, in units of the cell vectors:
H: 0.500 0.500 0.500
Te: 0.893 0.893 0.893
Te: 0.107 0.107 0.107
Zr: 0.000 0.000 0.000